# PBE-GGA Er8Al2Rh, optimized geometry
# VASP energy: -4.967 eV/atom
# Calculated formation energy: -0.299 eV per atom
# D(E_F): 20.685 states/eV per cell
data_Er8Al2Rh
_chemical_formula_sum 'Er16 Al4 Rh2'
_symmetry_space_group_name_H-M 'C 1 2/m 1'
_symmetry_Int_Tables_number 12
_symmetry_space_group_name_Hall '-C 2y'
_cell_length_a 17.5226
_cell_length_b 5.1433
_cell_length_c 6.8063
_cell_angle_alpha 90.00
_cell_angle_beta 110.99
_cell_angle_gamma 90.00
loop_
_atom_site_label
_atom_site_type_symbol
_atom_site_fract_x
_atom_site_fract_y
_atom_site_fract_z
Er1 Er 0.0172 0.0000 0.2795
Er2 Er 0.0947 0.5000 0.9290
Er3 Er 0.1510 0.5000 0.4444
Er4 Er 0.2022 0.0000 0.7849
Al1 Al 0.1792 0.0000 0.2031
Rh1 Rh 0.0000 0.5000 0.5000